# 1
! Rb2VHgPd PBE-GGA relaxed; values from VASP
&SYSTEM
  ibrav = 0, nat = 5, ntyp = 4
/
ATOMIC_SPECIES
Rb 85.47 Rb.upf
Hg 200.59 Hg.upf
Pd 106.42 Pd.upf
V 50.94 V.upf
CELL_PARAMETERS angstrom
6.6786 0.0000 0.0000
0.0000 5.1598 0.0000
0.0000 0.0000 6.6786
ATOMIC_POSITIONS crystal
Rb 0.0000 0.0000 0.5000
Rb 0.5000 0.0000 0.0000
Hg 0.0000 0.0000 0.0000
Pd 0.0000 0.5000 0.0000
V 0.5000 0.5000 0.5000
! VASP energy   -12.1 eV/cell
! Space group   P4/mmm, No. 123
! Formation energy from the elements   0.88 eV/atom

***

# 2
! Rb2HgPdW PBE-GGA relaxed; values from VASP
&SYSTEM
  ibrav = 0, nat = 5, ntyp = 4
/
ATOMIC_SPECIES
Rb 85.47 Rb.upf
Pd 106.42 Pd.upf
Hg 200.59 Hg.upf
W 183.84 W.upf
CELL_PARAMETERS angstrom
6.6083 0.0000 0.0000
0.0000 5.1766 0.0000
0.0000 0.0000 6.6083
ATOMIC_POSITIONS crystal
Rb 0.0000 0.0000 0.5000
Rb 0.5000 0.0000 0.0000
Pd 0.0000 0.5000 0.0000
Hg 0.0000 0.0000 0.0000
W 0.5000 0.5000 0.5000
! VASP energy   -13.3 eV/cell
! Space group   P4/mmm, No. 123
! Formation energy from the elements   1.41 eV/atom

***

# 3
! RbZnHg2Pd PBE-GGA relaxed; values from VASP
&SYSTEM
  ibrav = 0, nat = 5, ntyp = 4
/
ATOMIC_SPECIES
Zn 65.41 Zn.upf
Rb 85.47 Rb.upf
Hg 200.59 Hg.upf
Pd 106.42 Pd.upf
CELL_PARAMETERS angstrom
5.4201 0.0000 0.0000
0.0000 5.4201 0.0000
0.0000 0.0000 4.9982
ATOMIC_POSITIONS crystal
Zn 0.0000 0.0000 0.5000
Rb 0.5000 0.5000 0.5000
Hg 0.0000 0.5000 0.0000
Hg 0.5000 0.0000 0.0000
Pd 0.0000 0.0000 0.0000
! VASP energy   -9.1 eV/cell
! Space group   P4/mmm, No. 123
! Formation energy from the elements   -0.22 eV/atom